First-principles (GGA-PBEsol) data for a relaxed structure of RbHfNi3, as listed in the Alexandria database.

abc: 4.5055 4.5055 4.5055
angles: 90.00 90.00 90.00
Closest atoms and distances in Å follow each position.
Space group Pm-3m (No. 221)
Inequivalent atoms, fractional coordinates:
Rb: 0.0000 0.0000 0.0000  6 Ni 2.25
Hf: 0.5000 0.5000 0.5000  12 Ni 3.19
Ni: 0.0000 0.0000 0.5000  2 Rb 2.25

## Properties
Electronic total energy (eV/cell): -20.06
Volume (Å³/f.u.): 91
Spin magnetization (μB/cell): 0.00